Crystalline Np3PaS6 at its relaxed geometry, computed with PBE.

Summary:
**D(E_F)**: 60.1 states/eV per cell
**Formation energy (no corrections)**: -1.432 eV per atom

a b c (Å): 10.828 3.915 11.222
angles (deg): 90.00 107.34 90.00
Sites, in units of the cell vectors:
Np 0.079 0.250 0.167
Np 0.180 0.750 0.500
Np 0.345 0.250 0.925
Np 0.655 0.750 0.075
Np 0.820 0.250 0.500
Np 0.921 0.750 0.833
Pa 0.453 0.250 0.305
Pa 0.547 0.750 0.695
S 0.014 0.250 0.380
S 0.095 0.250 0.930
S 0.252 0.750 0.279
S 0.313 0.750 0.752
S 0.388 0.250 0.540
S 0.416 0.750 0.104
S 0.584 0.250 0.896
S 0.612 0.750 0.460
S 0.687 0.250 0.248
S 0.748 0.250 0.721
S 0.905 0.750 0.070
S 0.986 0.750 0.620

=====

Crystalline ScTl2Fe at its relaxed geometry, computed with PBE.

Summary:
**D(E_F)**: 6.1 states/eV per cell
**ΔE_f**: 0.28 eV per atom

a b c (Å): 9.571 9.571 9.571
angles (deg): 20.22 20.22 20.22
Sites, in units of the cell vectors:
Sc 0.000 0.000 0.000
Tl 0.526 0.526 0.526
Tl 0.759 0.759 0.759
Fe 0.268 0.268 0.268

=====

Crystalline Ca3ScZn4 at its relaxed geometry, computed with PBE.

Summary:
**D(E_F)**: 6.4 states/eV per cell
**ΔE_f**: -0.26 eV per atom

a b c (Å): 3.574 3.574 14.456
angles (deg): 90.00 90.00 90.00
Sites, in units of the cell vectors:
Ca 0.000 0.000 0.000
Ca 0.000 0.000 0.261
Ca 0.000 0.000 0.739
Sc 0.000 0.000 0.500
Zn 0.500 0.500 0.130
Zn 0.500 0.500 0.399
Zn 0.500 0.500 0.601
Zn 0.500 0.500 0.870

=====

Crystalline BaErAlO4 at its relaxed geometry, computed with PBE.

Summary:
**D(E_F)**: 0.0 states/eV per cell
**Formation energy (no corrections)**: -3.094 eV per atom

a b c (Å): 5.635 5.778 7.196
angles (deg): 90.00 108.24 90.00
Sites, in units of the cell vectors:
Ba 0.209 0.250 0.430
Ba 0.791 0.750 0.570
Er 0.304 0.250 0.963
Er 0.696 0.750 0.037
Al 0.243 0.750 0.165
Al 0.757 0.250 0.835
O 0.028 0.750 0.930
O 0.052 0.750 0.321
O 0.463 0.519 0.194
O 0.463 0.981 0.194
O 0.537 0.019 0.806
O 0.537 0.481 0.806
O 0.948 0.250 0.679
O 0.972 0.250 0.070

=====

Crystalline AcNd6Ho5 at its relaxed geometry, computed with PBE.

Summary:
**D(E_F)**: 14.9 states/eV per cell
**ΔE_f**: 0.03 eV per atom

a b c (Å): 6.316 6.316 12.025
angles (deg): 95.02 95.02 119.99
Sites, in units of the cell vectors:
Ac 0.000 0.000 0.000
Nd 0.085 0.422 0.255
Nd 0.251 0.251 0.745
Nd 0.422 0.085 0.255
Nd 0.578 0.915 0.745
Nd 0.749 0.749 0.255
Nd 0.915 0.578 0.745
Ho 0.167 0.833 0.500
Ho 0.333 0.667 0.000
Ho 0.500 0.500 0.500
Ho 0.667 0.333 0.000
Ho 0.833 0.167 0.500

=====

Crystalline Ac4Au2F at its relaxed geometry, computed with PBE.

Summary:
**D(E_F)**: 4.8 states/eV per cell
**Formation energy (no corrections)**: -1.046 eV per atom

a b c (Å): 8.900 8.900 8.900
angles (deg): 145.45 145.45 49.67
Sites, in units of the cell vectors:
Ac 0.000 0.500 0.500
Ac 0.195 0.195 0.000
Ac 0.500 0.000 0.500
Ac 0.805 0.805 0.000
Au 0.380 0.380 0.000
Au 0.620 0.620 0.000
F 0.000 0.000 0.000

=====

Crystalline SrZn2CoRh at its relaxed geometry, computed with PBE.

Summary:
**D(E_F)**: 5.3 states/eV per cell
**ΔE_f**: 1.87 eV per atom

a b c (Å): 5.259 5.259 4.453
angles (deg): 90.00 90.00 90.00
Sites, in units of the cell vectors:
Sr 0.000 0.000 0.000
Zn 0.000 0.500 0.000
Zn 0.500 0.000 0.000
Co 0.000 0.000 0.500
Rh 0.500 0.500 0.500

=====

Crystalline CaSnAu3 at its relaxed geometry, computed with PBE.

Summary:
**D(E_F)**: 2.2 states/eV per cell
**ΔE_f**: 0.39 eV per atom

a b c (Å): 5.335 5.335 5.335
angles (deg): 90.00 90.00 90.00
Sites, in units of the cell vectors:
Ca 0.000 0.000 0.000
Sn 0.500 0.500 0.500
Au 0.000 0.000 0.500
Au 0.000 0.500 0.000
Au 0.500 0.000 0.000

=====

Crystalline SrLaUN4 at its relaxed geometry, computed with PBE.

Summary:
**D(E_F)**: 12.9 states/eV per cell
**Formation energy (no corrections)**: -1.092 eV per atom

a b c (Å): 7.095 7.095 6.057
angles (deg): 90.00 90.00 129.55
Sites, in units of the cell vectors:
Sr 0.104 0.896 0.750
Sr 0.896 0.104 0.250
La 0.397 0.603 0.750
La 0.603 0.397 0.250
U 0.251 0.749 0.250
U 0.749 0.251 0.750
N 0.000 0.500 0.000
N 0.000 0.500 0.500
N 0.092 0.908 0.250
N 0.420 0.580 0.250
N 0.500 0.000 0.000
N 0.500 0.000 0.500
N 0.580 0.420 0.750
N 0.908 0.092 0.750

=====

Crystalline SrCaTe at its relaxed geometry, computed with PBE.

Summary:
**D(E_F)**: 2.5 states/eV per cell
**Formation energy (no corrections)**: -1.012 eV per atom

a b c (Å): 14.777 14.777 14.777
angles (deg): 17.32 17.32 17.32
Sites, in units of the cell vectors:
Sr 0.127 0.127 0.127
Sr 0.873 0.873 0.873
Ca 0.369 0.369 0.369
Ca 0.631 0.631 0.631
Te 0.255 0.255 0.255
Te 0.745 0.745 0.745